# 1
The following is a meta-GGA SCAN calculation of KSr3 at its PBEsol-relaxed geometry, from the Alexandria database.

abc: 4.226 7.485 8.213
angles: 117.11 104.91 90.00
Fractional coordinates of all 4 atoms:
Sr (0.500, 0.503, 0.000)
Sr (0.248, 0.578, 0.496)
Sr (0.752, 0.082, 0.504)
K (0.000, 0.003, 0.000)

## Properties
energy relative to the lowest polymorph listed for this composition = 3.2 kJ/mol of atoms
symmetry = Imm2
energy relative to the elements = 0.34 eV per formula unit

***

# 2
The following is a meta-GGA SCAN calculation of TiSn2Mo at its PBEsol-relaxed geometry, from the Alexandria database.

abc: 4.673 4.673 4.673
angles: 60.00 60.00 60.00
Fractional coordinates of all 4 atoms:
Mo (0.500, 0.500, 0.500)
Sn (0.250, 0.250, 0.250)
Sn (0.750, 0.750, 0.750)
Ti (0.000, 0.000, 0.000)

## Properties
symmetry = Fm-3m
energy relative to the elements = 0.42 eV per formula unit

***

# 3
The following is a meta-GGA SCAN calculation of Mg2SbPb at its PBEsol-relaxed geometry, from the Alexandria database.

abc: 5.171 5.171 5.171
angles: 60.00 60.00 60.00
Fractional coordinates of all 4 atoms:
Pb (0.000, 0.000, 0.000)
Sb (0.500, 0.500, 0.500)
Mg (0.250, 0.250, 0.250)
Mg (0.750, 0.750, 0.750)

## Properties
ΔE_f (raw) = -45 kJ/mol of formula units
energy relative to the lowest polymorph listed for this composition = 5.2 kJ/mol of atoms
symmetry = Fm-3m

***

# 4
The following is a meta-GGA SCAN calculation of Mg8Zn at its PBEsol-relaxed geometry, from the Alexandria database.

abc: 4.426 6.948 6.948
angles: 84.18 71.42 71.42
Fractional coordinates of all 9 atoms:
Mg (0.000, 0.327, 0.673)
Mg (0.000, 0.673, 0.327)
Mg (0.673, 0.327, 0.327)
Mg (0.662, 0.677, 0.000)
Mg (0.662, 0.000, 0.677)
Mg (0.327, 0.673, 0.673)
Mg (0.338, 0.000, 0.323)
Mg (0.338, 0.323, 0.000)
Zn (0.000, 0.000, 0.000)

## Properties
symmetry = I4/mmm
energy relative to the elements = 0.02 eV per formula unit

***

# 5
The following is a meta-GGA SCAN calculation of InMoRu2 at its PBEsol-relaxed geometry, from the Alexandria database.

abc: 2.940 2.940 7.084
angles: 90.00 90.00 90.00
Fractional coordinates of all 4 atoms:
In (0.500, 0.500, 0.000)
Mo (0.500, 0.500, 0.500)
Ru (0.000, 0.000, 0.731)
Ru (0.000, 0.000, 0.269)

## Properties
symmetry = P4/mmm
energy relative to the elements = 0.19 eV per formula unit

***

# 6
The following is a meta-GGA SCAN calculation of BeMoPt2 at its PBEsol-relaxed geometry, from the Alexandria database.

abc: 2.748 2.748 8.390
angles: 80.57 80.57 60.00
Fractional coordinates of all 4 atoms:
Be (0.500, 0.500, 0.500)
Mo (0.000, 0.000, 0.000)
Pt (0.240, 0.240, 0.279)
Pt (0.760, 0.760, 0.721)

## Properties
symmetry = R-3m
energy relative to the elements = -1.33 eV per formula unit

***

# 7
The following is a meta-GGA SCAN calculation of VRu3 at its PBEsol-relaxed geometry, from the Alexandria database.

abc: 4.210 5.379 5.379
angles: 120.00 90.00 90.00
Fractional coordinates of all 8 atoms:
V (0.750, 0.333, 0.667)
V (0.250, 0.667, 0.333)
Ru (0.250, 0.661, 0.831)
Ru (0.250, 0.169, 0.339)
Ru (0.250, 0.169, 0.831)
Ru (0.750, 0.339, 0.169)
Ru (0.750, 0.831, 0.661)
Ru (0.750, 0.831, 0.169)

## Properties
symmetry = P6_3/mmc
energy relative to the elements = -0.57 eV per formula unit

***

# 8
The following is a meta-GGA SCAN calculation of ScRu2Pb at its PBEsol-relaxed geometry, from the Alexandria database.

abc: 3.301 4.475 4.475
angles: 90.00 90.00 90.00
Fractional coordinates of all 4 atoms:
Pb (0.500, 0.000, 0.000)
Ru (0.000, 0.000, 0.500)
Ru (0.000, 0.500, 0.000)
Sc (0.500, 0.500, 0.500)

## Properties
symmetry = P4/mmm
energy relative to the elements = -0.90 eV per formula unit

***

# 9
The following is a meta-GGA SCAN calculation of SiRu2Se at its PBEsol-relaxed geometry, from the Alexandria database.

abc: 2.876 2.876 7.881
angles: 79.49 79.49 60.00
Fractional coordinates of all 4 atoms:
Ru (0.253, 0.253, 0.240)
Ru (0.747, 0.747, 0.760)
Se (0.500, 0.500, 0.500)
Si (0.000, 0.000, 0.000)

## Properties
ΔE_f (raw) = -39 kJ/mol of formula units
energy relative to the lowest polymorph listed for this composition = 0.0 kJ/mol of atoms
symmetry = R-3m

***

# 10
The following is a meta-GGA SCAN calculation of CsZnSb2I at its PBEsol-relaxed geometry, from the Alexandria database.

abc: 7.913 7.913 6.922
angles: 90.00 90.00 90.00
Each line ends with the local moment (μB).
Fractional coordinates of all 5 atoms:
Cs (0.000, 0.000, 0.000)  0.04
I (0.000, 0.000, 0.500)  0.03
Zn (0.500, 0.500, 0.500)  0.02
Sb (0.000, 0.500, 0.000)  1.07
Sb (0.500, 0.000, 0.000)  1.07

## Properties
ΔE_f (raw) = 426 kJ/mol of formula units
symmetry = P4/mmm

***

# 11
The following is a meta-GGA SCAN calculation of CrSbW3 at its PBEsol-relaxed geometry, from the Alexandria database.

abc: 4.503 4.503 4.503
angles: 90.00 90.00 90.00
Fractional coordinates of all 5 atoms:
Sb (0.500, 0.500, 0.500)
W (0.000, 0.500, 0.000)
W (0.000, 0.000, 0.500)
W (0.500, 0.000, 0.000)
Cr (0.000, 0.000, 0.000)

## Properties
ΔE_f (raw) = 766 kJ/mol of formula units
symmetry = Pm-3m

***

# 12
The following is a meta-GGA SCAN calculation of Mn2BeCuAu at its PBEsol-relaxed geometry, from the Alexandria database.

abc: 4.400 4.400 4.617
angles: 90.00 90.00 90.00
Each line ends with the local moment (μB).
Fractional coordinates of all 5 atoms:
Be (0.500, 0.500, 0.500)  -0.09
Mn (0.000, 0.500, 0.000)  4.14
Mn (0.500, 0.000, 0.000)  4.14
Au (0.000, 0.000, 0.500)  0.01
Cu (0.000, 0.000, 0.000)  0.22

## Properties
symmetry = P4/mmm
energy relative to the elements = 3.85 eV per formula unit

***

| no. | volume (Å³ per cell) |
| --- | --- |
| 1 | 221.4 |
| 2 | 72.1 |
| 3 | 97.8 |
| 4 | 192.0 |
| 5 | 61.2 |
| 6 | 53.9 |
| 7 | 105.5 |
| 8 | 66.1 |
| 9 | 55.2 |
| 10 | 433.4 |
| 11 | 91.3 |
| 12 | 89.4 |